## Y6Cu2Rh (PBE-GGA)

Data for an optimized crystal structure of Y6Cu2Rh.

Output
As for the symmetry: Immm, No. 71. The energy relative to the elements comes out at -0.298 eV/atom. The total magnetic moment is 0.0 μB/cell. The density of states at the Fermi level comes out at 0.871 states/eV/atom. Its mass density is 5.677 g cm⁻³.

The structure in extended XYZ format:
```
18
Lattice="-4.7798 4.7978 4.8689 4.7798 -4.7978 4.8689 4.7798 4.7978 -4.8689" Properties=species:S:1:pos:R:3 pbc="T T T"
Y 4.7798 3.1173 -2.4956
Y 3.1262 0.0000 1.9700
Y 6.4334 0.0000 1.9700
Y 2.2776 3.0290 0.0000
Y 2.5022 -1.7688 4.8689
Y 0.0000 1.6804 2.3733
Y 4.7798 3.1173 2.4956
Y 2.2776 6.5666 0.0000
Y 2.5022 1.7688 4.8689
Y -1.6536 4.7978 2.8989
Y 1.6536 4.7978 2.8989
Y 0.0000 1.6804 7.3645
Cu 1.1537 0.0000 0.0000
Cu 8.4059 0.0000 0.0000
Cu 4.7798 1.4354 0.0000
Cu 0.0000 3.3624 4.8689
Rh 0.0000 4.7978 0.0000
Rh 0.0000 0.0000 4.8689
```